# BaY2In | the Alexandria database | GGA-PBEsol | relaxed
data_BaY2In
_chemical_formula_sum 'Ba1 Y2 In1'
_space_group_name_H-M_alt 'P 4/m m m'
_space_group_IT_number 123
_space_group_name_Hall '-P 4 2'
_cell_length_a 5.032
_cell_length_b 5.032
_cell_length_c 4.891
_cell_angle_alpha 90.00
_cell_angle_beta 90.00
_cell_angle_gamma 90.00
loop_
_atom_site_label
_atom_site_type_symbol
_atom_site_fract_x
_atom_site_fract_y
_atom_site_fract_z
Ba1 Ba 0.000 0.000 0.000
Y1 Y 0.000 0.500 0.500
In1 In 0.500 0.500 0.000
# - magnetic moment (μB per cell) = 0.0
# - DFT formation energy (meV per atom) = -80
# - mass density (g/cm³) = 5.76